Material: La2YAs
Method: DFT, PBE
State: optimized geometry

Lattice parameters (Å, degrees): 3.825 3.825 8.141 90.00 90.00 90.00
Fractional coordinates of all 4 atoms:
La 0.000 0.000 0.000
La 0.500 0.500 0.323
Y 0.000 0.000 0.612
As 0.500 0.500 0.770

Calculated values
ΔE_f, eV per formula unit: -2.39
Volume, Å³ per cell: 119.1